(1)
## SmHfRuRh (PBE-GGA)

Data for crystalline SmHfRuRh at its relaxed geometry.

Summary:
Total moment   0.00 μB/cell
Formation energy   -0.57 eV/atom

CIF file:
```
data_SmHfRuRh
_space_group_name_H-M_alt 'F -4 3 m'
_space_group_IT_number 216
_space_group_name_Hall 'F -4 2 3'
_cell_length_a 6.7336
_cell_length_b 6.7336
_cell_length_c 6.7336
_cell_angle_alpha 90.00
_cell_angle_beta 90.00
_cell_angle_gamma 90.00
loop_
_atom_site_label
_atom_site_type_symbol
_atom_site_fract_x
_atom_site_fract_y
_atom_site_fract_z
Sm1 Sm 0.0000 0.0000 0.0000
Hf1 Hf 0.0000 0.0000 0.5000
Ru1 Ru 0.2500 0.2500 0.2500
Rh1 Rh 0.2500 0.2500 0.7500
```

(2)
## HfSnRuRh (PBE-GGA)

Data for crystalline HfSnRuRh at its relaxed geometry.

Summary:
Total moment   1.37 μB/cell
Formation energy   -0.66 eV/atom

CIF file:
```
data_HfSnRuRh
_space_group_name_H-M_alt 'F -4 3 m'
_space_group_IT_number 216
_space_group_name_Hall 'F -4 2 3'
_cell_length_a 6.4754
_cell_length_b 6.4754
_cell_length_c 6.4754
_cell_angle_alpha 90.00
_cell_angle_beta 90.00
_cell_angle_gamma 90.00
loop_
_atom_site_label
_atom_site_type_symbol
_atom_site_fract_x
_atom_site_fract_y
_atom_site_fract_z
Hf1 Hf 0.0000 0.0000 0.0000
Sn1 Sn 0.0000 0.0000 0.5000
Ru1 Ru 0.2500 0.2500 0.7500
Rh1 Rh 0.2500 0.2500 0.2500
```

(3)
## HfTiRuRh (PBE-GGA)

Data for crystalline HfTiRuRh at its relaxed geometry.

Summary:
Total moment   0.00 μB/cell
Formation energy   -0.77 eV/atom

CIF file:
```
data_HfTiRuRh
_space_group_name_H-M_alt 'P 4 m m'
_space_group_IT_number 99
_cell_length_a 3.1942
_cell_length_b 3.1942
_cell_length_c 6.2893
_cell_angle_alpha 90.00
_cell_angle_beta 90.00
_cell_angle_gamma 90.00
loop_
_space_group_symop_operation_xyz
'x,y,z'
'-y,x,z'
'-x,-y,z'
'y,-x,z'
'-x,y,z'
'y,x,z'
'x,-y,z'
'-y,-x,z'
loop_
_atom_site_label
_atom_site_type_symbol
_atom_site_fract_x
_atom_site_fract_y
_atom_site_fract_z
Hf1 Hf 0.0000 0.0000 0.0000
Ti1 Ti 0.0000 0.0000 0.5042
Ru1 Ru 0.5000 0.5000 0.7404
Rh1 Rh 0.5000 0.5000 0.2609
```

(4)
## Hf2TiRuRh (PBE-GGA)

Data for crystalline Hf2TiRuRh at its relaxed geometry.

Summary:
Total moment   0.00 μB/cell
Formation energy   0.67 eV/atom

CIF file:
```
data_Hf2TiRuRh
_space_group_name_H-M_alt 'P 4/m m m'
_space_group_IT_number 123
_space_group_name_Hall '-P 4 2'
_cell_length_a 4.8460
_cell_length_b 4.8460
_cell_length_c 4.7621
_cell_angle_alpha 90.00
_cell_angle_beta 90.00
_cell_angle_gamma 90.00
loop_
_atom_site_label
_atom_site_type_symbol
_atom_site_fract_x
_atom_site_fract_y
_atom_site_fract_z
Hf1 Hf 0.0000 0.5000 0.0000
Ti1 Ti 0.0000 0.0000 0.5000
Ru1 Ru 0.5000 0.5000 0.0000
Rh1 Rh 0.5000 0.5000 0.5000
```

(5)
## TmHfRuRh (PBE-GGA)

Data for crystalline TmHfRuRh at its relaxed geometry.

Summary:
Total moment   0.00 μB/cell
Polymorph energy (0 for the lowest one)   0.17 eV per formula unit
Formation energy   -0.79 eV/atom

CIF file:
```
data_TmHfRuRh
_space_group_name_H-M_alt 'F -4 3 m'
_space_group_IT_number 216
_space_group_name_Hall 'F -4 2 3'
_cell_length_a 6.6110
_cell_length_b 6.6110
_cell_length_c 6.6110
_cell_angle_alpha 90.00
_cell_angle_beta 90.00
_cell_angle_gamma 90.00
loop_
_atom_site_label
_atom_site_type_symbol
_atom_site_fract_x
_atom_site_fract_y
_atom_site_fract_z
Tm1 Tm 0.0000 0.0000 0.0000
Hf1 Hf 0.0000 0.0000 0.5000
Ru1 Ru 0.2500 0.2500 0.7500
Rh1 Rh 0.2500 0.2500 0.2500
```

(6)
## TmHfRuRh (PBE-GGA)

Data for crystalline TmHfRuRh at its relaxed geometry.

Summary:
Total moment   0.00 μB/cell
Polymorph energy (0 for the lowest one)   0.00 eV per formula unit
Formation energy   -0.84 eV/atom

CIF file:
```
data_TmHfRuRh
_space_group_name_H-M_alt 'P 4 m m'
_space_group_IT_number 99
_cell_length_a 3.3138
_cell_length_b 3.3138
_cell_length_c 6.6103
_cell_angle_alpha 90.00
_cell_angle_beta 90.00
_cell_angle_gamma 90.00
loop_
_space_group_symop_operation_xyz
'x,y,z'
'-y,x,z'
'-x,-y,z'
'y,-x,z'
'-x,y,z'
'y,x,z'
'x,-y,z'
'-y,-x,z'
loop_
_atom_site_label
_atom_site_type_symbol
_atom_site_fract_x
_atom_site_fract_y
_atom_site_fract_z
Tm1 Tm 0.0000 0.0000 0.0000
Hf1 Hf 0.0000 0.0000 0.5037
Ru1 Ru 0.5000 0.5000 0.7331
Rh1 Rh 0.5000 0.5000 0.2661
```

(7)
## YHfRuRh (PBE-GGA)

Data for crystalline YHfRuRh at its relaxed geometry.

Summary:
Total moment   0.00 μB/cell
Formation energy   -0.69 eV/atom

CIF file:
```
data_YHfRuRh
_space_group_name_H-M_alt 'F -4 3 m'
_space_group_IT_number 216
_space_group_name_Hall 'F -4 2 3'
_cell_length_a 6.6676
_cell_length_b 6.6676
_cell_length_c 6.6676
_cell_angle_alpha 90.00
_cell_angle_beta 90.00
_cell_angle_gamma 90.00
loop_
_atom_site_label
_atom_site_type_symbol
_atom_site_fract_x
_atom_site_fract_y
_atom_site_fract_z
Y1 Y 0.0000 0.0000 0.0000
Hf1 Hf 0.0000 0.0000 0.5000
Ru1 Ru 0.2500 0.2500 0.2500
Rh1 Rh 0.2500 0.2500 0.7500
```

(8)
## HfZnRuRh (PBE-GGA)

Data for crystalline HfZnRuRh at its relaxed geometry.

Summary:
Total moment   0.00 μB/cell
Formation energy   -0.62 eV/atom

CIF file:
```
data_HfZnRuRh
_space_group_name_H-M_alt 'P m m m'
_space_group_IT_number 47
_cell_length_a 3.3431
_cell_length_b 4.2791
_cell_length_c 4.2961
_cell_angle_alpha 90.00
_cell_angle_beta 90.00
_cell_angle_gamma 90.00
loop_
_space_group_symop_operation_xyz
'x,y,z'
'-x,-y,-z'
'-x,-y,z'
'x,y,-z'
'x,-y,-z'
'-x,y,z'
'-x,y,-z'
'x,-y,z'
loop_
_atom_site_label
_atom_site_type_symbol
_atom_site_fract_x
_atom_site_fract_y
_atom_site_fract_z
Hf1 Hf 0.0000 0.0000 0.0000
Zn1 Zn 0.0000 0.5000 0.5000
Ru1 Ru 0.5000 0.5000 0.0000
Rh1 Rh 0.5000 0.0000 0.5000
```

(9)
## Hf2Rh2S (PBE-GGA)

Data for crystalline Hf2Rh2S at its relaxed geometry.

Summary:
ΔE_f (raw)   -0.6527 eV/atom
Total moment   0.00 μB/cell
Polymorph energy (0 for the lowest one)   0.00 eV per formula unit

CIF file:
```
data_Hf2Rh2S
_space_group_name_H-M_alt 'P 4/m b m'
_space_group_IT_number 127
_space_group_name_Hall '-P 4 2ab'
_cell_length_a 7.3435
_cell_length_b 7.3435
_cell_length_c 3.2928
_cell_angle_alpha 90.00
_cell_angle_beta 90.00
_cell_angle_gamma 90.00
loop_
_atom_site_label
_atom_site_type_symbol
_atom_site_fract_x
_atom_site_fract_y
_atom_site_fract_z
Hf1 Hf 0.1652 0.3348 0.0000
Rh1 Rh 0.1324 0.6324 0.5000
S1 S 0.0000 0.0000 0.5000
```

(10)
## Hf2Rh2S (PBE-GGA)

Data for crystalline Hf2Rh2S at its relaxed geometry.

Summary:
ΔE_f (raw)   -0.3039 eV/atom
Total moment   0.00 μB/cell
Polymorph energy (0 for the lowest one)   1.74 eV per formula unit

CIF file:
```
data_Hf2Rh2S
_space_group_name_H-M_alt 'I 4/m m m'
_space_group_IT_number 139
_space_group_name_Hall '-I 4 2'
_cell_length_a 4.4613
_cell_length_b 4.4613
_cell_length_c 10.3992
_cell_angle_alpha 90.00
_cell_angle_beta 90.00
_cell_angle_gamma 90.00
loop_
_atom_site_label
_atom_site_type_symbol
_atom_site_fract_x
_atom_site_fract_y
_atom_site_fract_z
Hf1 Hf 0.0000 0.5000 0.2500
Rh1 Rh 0.0000 0.0000 0.1211
S1 S 0.0000 0.0000 0.5000
```

(11)
## HfRhS3 (PBE-GGA)

Data for crystalline HfRhS3 at its relaxed geometry.

Summary:
ΔE_f (raw)   0.0227 eV/atom
Total moment   2.91 μB/cell
Polymorph energy (0 for the lowest one)   0.00 eV per formula unit

CIF file:
```
data_HfRhS3
_space_group_name_H-M_alt 'P m -3 m'
_space_group_IT_number 221
_space_group_name_Hall '-P 4 2 3'
_cell_length_a 4.8851
_cell_length_b 4.8851
_cell_length_c 4.8851
_cell_angle_alpha 90.00
_cell_angle_beta 90.00
_cell_angle_gamma 90.00
loop_
_atom_site_label
_atom_site_type_symbol
_atom_site_fract_x
_atom_site_fract_y
_atom_site_fract_z
Hf1 Hf 0.0000 0.0000 0.0000
Rh1 Rh 0.5000 0.5000 0.5000
S1 S 0.0000 0.0000 0.5000
```

(12)
## Hf2RhS (PBE-GGA)

Data for crystalline Hf2RhS at its relaxed geometry.

Summary:
ΔE_f (raw)   -0.3794 eV/atom
Total moment   0.00 μB/cell

CIF file:
```
data_Hf2RhS
_space_group_name_H-M_alt 'R -3 m'
_space_group_IT_number 166
_space_group_name_Hall '-R 3 2"'
_cell_length_a 3.1619
_cell_length_b 3.1619
_cell_length_c 26.0793
_cell_angle_alpha 90.00
_cell_angle_beta 90.00
_cell_angle_gamma 120.00
loop_
_atom_site_label
_atom_site_type_symbol
_atom_site_fract_x
_atom_site_fract_y
_atom_site_fract_z
Hf1 Hf 0.0000 0.0000 0.0942
Rh1 Rh 0.0000 0.0000 0.0000
S1 S 0.0000 0.0000 0.5000
```

(13)
## HfRhS3 (PBE-GGA)

Data for crystalline HfRhS3 at its relaxed geometry.

Summary:
ΔE_f (raw)   0.0494 eV/atom
Total moment   0.00 μB/cell
Polymorph energy (0 for the lowest one)   0.13 eV per formula unit

CIF file:
```
data_HfRhS3
_space_group_name_H-M_alt 'P m -3 m'
_space_group_IT_number 221
_space_group_name_Hall '-P 4 2 3'
_cell_length_a 4.5494
_cell_length_b 4.5494
_cell_length_c 4.5494
_cell_angle_alpha 90.00
_cell_angle_beta 90.00
_cell_angle_gamma 90.00
loop_
_atom_site_label
_atom_site_type_symbol
_atom_site_fract_x
_atom_site_fract_y
_atom_site_fract_z
Hf1 Hf 0.0000 0.0000 0.0000
Rh1 Rh 0.5000 0.5000 0.5000
S1 S 0.0000 0.5000 0.5000
```